*one*
# PBE PuPa2Pt2, optimized geometry
data_PuPa2Pt2
_chemical_formula_sum 'Pu1 Pa2 Pt2'
_cell_length_a 4.6506
_cell_length_b 4.6506
_cell_length_c 6.4868
_cell_angle_alpha 90.00
_cell_angle_beta 90.00
_cell_angle_gamma 120.00
_space_group_name_H-M_alt 'P 1'
_space_group_IT_number 1
loop_
_space_group_symop_operation_xyz
'x,y,z'
loop_
_atom_site_label
_atom_site_fract_x
_atom_site_fract_y
_atom_site_fract_z
_atom_site_occupancy
Pu1 0.0000 0.0000 0.0000 1
Pa1 0.3333 0.6667 0.6346 1
Pa2 0.6667 0.3333 0.3654 1
Pt1 0.3333 0.6667 0.1831 1
Pt2 0.6667 0.3333 0.8169 1
# Fermi-level density of states ... 2.255 states/eV/atom
# Total magnetization ... 4.8 μB/f.u.

*two*
# PBE PuPa2Pt2, optimized geometry
data_PuPa2Pt2
_chemical_formula_sum 'Pu2 Pa4 Pt4'
_cell_length_a 4.7599
_cell_length_b 4.7607
_cell_length_c 12.8552
_cell_angle_alpha 111.74
_cell_angle_beta 79.33
_cell_angle_gamma 60.01
_space_group_name_H-M_alt 'P 1'
_space_group_IT_number 1
loop_
_space_group_symop_operation_xyz
'x,y,z'
loop_
_atom_site_label
_atom_site_fract_x
_atom_site_fract_y
_atom_site_fract_z
_atom_site_occupancy
Pu1 0.4732 0.2835 0.7701 1
Pu2 0.5268 0.7165 0.2299 1
Pa1 0.0995 0.2507 0.5503 1
Pa2 0.6911 0.7611 0.8566 1
Pa3 0.9005 0.7493 0.4497 1
Pa4 0.3089 0.2389 0.1434 1
Pt1 0.7013 0.2485 0.3490 1
Pt2 0.9060 0.2425 0.9455 1
Pt3 0.2987 0.7515 0.6510 1
Pt4 0.0940 0.7575 0.0545 1
# Fermi-level density of states ... 1.413 states/eV/atom
# Total magnetization ... 6.1 μB/f.u.

Which structure wins on stability? *two* wins.

*one*
# PBE Pu2PaPt3, optimized geometry
data_Pu2PaPt3
_chemical_formula_sum 'Pu4 Pa2 Pt6'
_cell_length_a 5.7658
_cell_length_b 8.0497
_cell_length_c 7.1528
_cell_angle_alpha 106.38
_cell_angle_beta 113.77
_cell_angle_gamma 90.00
_space_group_name_H-M_alt 'P 1'
_space_group_IT_number 1
loop_
_space_group_symop_operation_xyz
'x,y,z'
loop_
_atom_site_label
_atom_site_fract_x
_atom_site_fract_y
_atom_site_fract_z
_atom_site_occupancy
Pu1 0.6666 0.5833 0.3329 1
Pu2 0.6663 0.0833 0.3329 1
Pu3 0.3337 0.9167 0.6671 1
Pu4 0.3334 0.4167 0.6671 1
Pa1 0.9999 0.7500 0.0000 1
Pa2 0.0001 0.2500 0.0000 1
Pt1 0.5001 0.2500 0.0000 1
Pt2 0.4999 0.7500 0.0000 1
Pt3 0.1584 0.0792 0.3171 1
Pt4 0.8413 0.4208 0.6829 1
Pt5 0.1587 0.5792 0.3171 1
Pt6 0.8416 0.9208 0.6829 1
# Fermi-level density of states ... 3.720 states/eV/atom
# Total magnetization ... 10.7 μB/f.u.

*two*
# PBE Pu2PaPt3, optimized geometry
data_Pu2PaPt3
_chemical_formula_sum 'Pu2 Pa1 Pt3'
_cell_length_a 3.6063
_cell_length_b 5.0089
_cell_length_c 10.3452
_cell_angle_alpha 104.00
_cell_angle_beta 134.22
_cell_angle_gamma 89.99
_space_group_name_H-M_alt 'P 1'
_space_group_IT_number 1
loop_
_space_group_symop_operation_xyz
'x,y,z'
loop_
_atom_site_label
_atom_site_fract_x
_atom_site_fract_y
_atom_site_fract_z
_atom_site_occupancy
Pu1 0.1285 0.0199 0.2209 1
Pu2 0.7117 0.8147 0.5129 1
Pa1 0.4689 0.4875 0.8913 1
Pt1 0.9068 0.9579 0.8602 1
Pt2 0.3237 0.3538 0.5688 1
Pt3 0.5657 0.4803 0.1896 1
# Fermi-level density of states ... 2.910 states/eV/atom
# Total magnetization ... 0.5 μB/f.u.

Which structure wins on stability? *one* wins.